(1)
Compound: LaEuNi2
Source: Alexandria
Functional: PBE
Structure: optimized geometry

The space group is Fm-3m (No. 225) and the conventional cell measures 7.023, 7.023 and 7.023 Å, with angles of 90.00, 90.00 and 90.00 degrees. Symmetry generates all atoms from La at (0.000, 0.000, 0.000), Eu at (0.000, 0.000, 0.500) and Ni at (0.250, 0.250, 0.250).

The total moment comes out at 7.07 μB/f.u. As for the density of states at the Fermi level: 2.061 states/eV per atom. The raw total energy comes out at -27.43 eV/f.u. The value obtained for the energy of formation from the pure elements is -0.17 eV/atom. Its energy relative to the lowest polymorph listed for this composition is 8 meV per atom.

***

(2)
Compound: LiMg2Ru
Source: Alexandria
Functional: PBE
Structure: optimized geometry

The space group is I-42d (No. 122) and the conventional cell measures 3.904, 3.904 and 18.474 Å, with angles of 90.00, 90.00 and 90.00 degrees. Symmetry generates all atoms from Li at (0.000, 0.000, 0.000), Mg at (0.240, 0.250, 0.625) and Ru at (0.000, 0.000, 0.500).

The total moment comes out at 0.00 μB/f.u. As for the density of states at the Fermi level: 0.357 states/eV per atom. The raw total energy comes out at -12.58 eV/f.u. The value obtained for the energy of formation from the pure elements is 0.45 eV/atom.

***

(3)
Compound: PuHfTh2As4
Source: Alexandria
Functional: PBE
Structure: optimized geometry

The space group is P2/m (No. 10) and the conventional cell measures 7.107, 4.130 and 7.135 Å, with angles of 90.00, 109.47 and 90.00 degrees. Symmetry generates all atoms from Pu at (0.000, 0.000, 0.000), Hf at (0.000, 0.500, 0.500), Th at (0.500, 0.000, 0.500), Th at (0.500, 0.500, 0.000), As at (0.228, 0.000, 0.735) and As at (0.234, 0.500, 0.253).

The total moment comes out at 5.46 μB/f.u. As for the density of states at the Fermi level: 1.452 states/eV per atom. The raw total energy comes out at -67.29 eV/f.u. The value obtained for the energy of formation from the pure elements is -1.20 eV/atom.